# SiAsIrBr2 (meta-GGA SCAN, PBEsol geometry)
# - Total energy: -27.254 eV per atom
# - ΔE_f (raw): 0.79 eV/atom
data_SiAsIrBr2
_chemical_formula_sum 'Si1 As1 Ir1 Br2'
_cell_length_a 5.109
_cell_length_b 5.109
_cell_length_c 4.612
_cell_angle_alpha 90.00
_cell_angle_beta 90.00
_cell_angle_gamma 90.00
_symmetry_space_group_name_H-M 'P 4/m m m'
_symmetry_Int_Tables_number 123
_symmetry_space_group_name_Hall '-P 4 2'
loop_
_atom_site_label
_atom_site_type_symbol
_atom_site_fract_x
_atom_site_fract_y
_atom_site_fract_z
Si1 Si 0.000 0.000 0.000
As1 As 0.500 0.500 0.000
Ir1 Ir 0.500 0.500 0.500
Br1 Br 0.000 0.500 0.500